Density functional theory data (PBE-GGA) for crystalline SbPd7 at its relaxed geometry.

Cell and atoms, written as extended XYZ:
```
16
Lattice="2.8753 0.0000 0.0000 0.0000 2.8753 0.0000 0.0000 0.0000 39.5070" Properties=species:S:1:pos:R:3 pbc="T T T"
Pd 0.0000 0.0000 7.5000
Pd 1.4377 1.4377 9.4629
Pd 0.0000 0.0000 11.3600
Pd 1.4377 1.4377 13.2376
Pd 0.0000 0.0000 15.1010
Pd 1.4377 1.4377 16.9639
Pd 0.0000 0.0000 18.8233
Pd 1.4377 1.4377 20.6850
Pd 0.0000 0.0000 22.5445
Pd 1.4377 1.4377 24.4072
Pd 0.0000 0.0000 26.2701
Pd 1.4377 1.4377 28.1465
Pd 0.0000 0.0000 30.0429
Pd 1.4377 1.4377 32.0060
Sb 1.4377 1.4377 5.5518
Sb 0.0000 0.0000 33.9533
```

Computed properties:
For the total energy, the calculation gives -5.05 eV per atom. The calculation puts the volume at 20.41 Å³ per atom. Its crystal system is tetragonal. As for the space group: P4/nmm (129).